First-principles (PBE) data for a relaxed Ba3Li7Pd4 crystal, as listed in Alexandria.

Results
size of the total moment	0.00	Bohr magnetons per cell
formation energy	-316	meV per atom

Geometry as POSCAR:
```
Ba3Li7Pd4
1.0
8.520 -2.218 0.000
8.520 2.218 0.000
-6.459 0.000 8.605
Ba Li Pd
3 7 4
Cartesian
0.000 0.000 0.000
3.323 0.000 2.515
7.258 0.000 6.090
-3.229 0.000 4.302
0.088 0.000 3.614
-1.047 0.000 8.563
3.691 0.000 6.155
6.889 0.000 2.450
11.628 0.000 0.042
10.492 0.000 4.991
-3.521 0.000 6.988
1.040 0.000 6.246
9.540 0.000 2.359
14.101 0.000 1.617
```



First-principles (PBE) data for a relaxed LiNi4GeH2 crystal, as listed in Alexandria.

Results
E	-36.94	eV for the cell shown
size of the total moment	0.00	Bohr magnetons per cell

Geometry as POSCAR:
```
LiNi4GeH2
1.0
3.483 0.000 0.000
0.000 3.483 0.000
0.000 0.000 7.362
Li Ni Ge H
1 4 1 2
Cartesian
0.000 0.000 0.000
0.000 1.741 2.055
0.000 1.741 5.308
1.741 0.000 2.055
1.741 0.000 5.308
0.000 0.000 3.681
1.741 1.741 1.687
1.741 1.741 5.676
```